[1]
# PBE-GGA ErSi2Pt7, optimized geometry
# magnetization = 0.000 μB/f.u.
# N(E_F) = 0.2960 states/eV per atom
# uncorrected formation energy = -896 meV per atom
data_ErSi2Pt7
_chemical_formula_sum 'Er2 Si4 Pt14'
_space_group_name_H-M_alt 'I 4/m m m'
_space_group_IT_number 139
_space_group_name_Hall '-I 4 2'
_cell_length_a 4.033
_cell_length_b 4.033
_cell_length_c 20.159
_cell_angle_alpha 90.00
_cell_angle_beta 90.00
_cell_angle_gamma 90.00
loop_
_atom_site_label
_atom_site_fract_x
_atom_site_fract_y
_atom_site_fract_z
Er1 0.000 0.000 0.000
Si1 0.000 0.000 0.324
Pt1 0.000 0.000 0.500
Pt2 0.000 0.500 0.107
Pt3 0.000 0.500 0.250

[2]
# PBE-GGA ErSi2Pt2, optimized geometry
# magnetization = 0.000 μB/f.u.
# N(E_F) = 0.7447 states/eV per atom
# uncorrected formation energy = -1020 meV per atom
data_ErSi2Pt2
_chemical_formula_sum 'Er2 Si4 Pt4'
_space_group_name_H-M_alt 'I 4/m m m'
_space_group_IT_number 139
_space_group_name_Hall '-I 4 2'
_cell_length_a 4.195
_cell_length_b 4.195
_cell_length_c 9.777
_cell_angle_alpha 90.00
_cell_angle_beta 90.00
_cell_angle_gamma 90.00
loop_
_atom_site_label
_atom_site_fract_x
_atom_site_fract_y
_atom_site_fract_z
Er1 0.000 0.000 0.000
Si1 0.000 0.000 0.382
Pt1 0.000 0.500 0.250